Record 1
## Al2B2Ir (GGA-PBE)

Data for Al2B2Ir after structural relaxation.

Summary:
Space group: P4/mbm (127)
Calculated volume in Å³/atom: 10.7

POSCAR file:
```
Al2B2Ir
1.0
5.6565 0.0000 0.0000
0.0000 5.6565 0.0000
0.0000 0.0000 3.3471
Al B Ir
4 4 2
Direct
0.1791 0.3209 0.0000
0.3209 0.8209 0.0000
0.6791 0.1791 0.0000
0.8209 0.6791 0.0000
0.1083 0.6083 0.5000
0.3917 0.1083 0.5000
0.6083 0.8917 0.5000
0.8917 0.3917 0.5000
0.0000 0.0000 0.5000
0.5000 0.5000 0.5000
```

Record 2
## AlB2Ir (GGA-PBE)

Data for AlB2Ir after structural relaxation.

Summary:
Space group: I-42d (122)
Calculated volume in Å³/atom: 14.5

POSCAR file:
```
AlB2Ir
1.0
-2.4994 2.4994 4.6284
2.4994 -2.4994 4.6284
2.4994 2.4994 -4.6284
Al B Ir
2 4 2
Direct
0.0000 0.0000 0.0000
0.7500 0.2500 0.5000
0.1616 0.6250 0.0366
0.3750 0.4116 0.5366
0.5884 0.1250 0.9634
0.8750 0.8384 0.4634
0.2500 0.7500 0.5000
0.5000 0.5000 0.0000
```

Record 3
## Al3BIr (GGA-PBE)

Data for Al3BIr after structural relaxation.

Summary:
Space group: Pm-3m (221)
Calculated volume in Å³/atom: 13.7

POSCAR file:
```
Al3BIr
1.0
4.0939 0.0000 0.0000
0.0000 4.0939 0.0000
0.0000 0.0000 4.0939
Al B Ir
3 1 1
Direct
0.0000 0.0000 0.5000
0.0000 0.5000 0.0000
0.5000 0.0000 0.0000
0.0000 0.0000 0.0000
0.5000 0.5000 0.5000
```

Record 4
## AlBIr (GGA-PBE)

Data for AlBIr after structural relaxation.

Summary:
Space group: P2_1/c (14)
Calculated volume in Å³/atom: 13.4

POSCAR file:
```
AlBIr
1.0
5.0906 0.0000 0.0000
0.0000 4.0612 0.0000
-0.0090 0.0000 7.7681
Al B Ir
4 4 4
Direct
0.1280 0.0592 0.3427
0.1280 0.4408 0.8427
0.8720 0.5592 0.1573
0.8720 0.9408 0.6573
0.4977 0.6297 0.4120
0.4977 0.8703 0.9120
0.5023 0.1297 0.0880
0.5023 0.3703 0.5880
0.3596 0.6167 0.1496
0.3596 0.8833 0.6496
0.6404 0.1167 0.3504
0.6404 0.3833 0.8504
```

| no. | formation energy from the elements (eV/atom) |
| --- | --- |
| 1 | -0.347 |
| 2 | 0.393 |
| 3 | 0.103 |
| 4 | -0.379 |